# NbPtSeI

An optimized crystal structure of NbPtSeI (PBE, the Alexandria database).

Cell: 3.569 3.569 9.562 Å, 90.51 90.51 60.15°
Sites, in units of the cell vectors:
1 Nb 0.000 0.000 0.000
2 Pt 0.331 0.331 0.835
3 Se 0.669 0.669 0.178
4 I 0.325 0.325 0.557

Space-group type: Cm (8)
Energy relative to the elements, uncorrected (eV/atom): -0.285